Here is crystalline NaSrAu2 at its relaxed geometry from Alexandria via LeMat-Bulk. Energies are from GGA-PBEsol.

Output
The size of the total moment comes out at 0.0 μB/f.u. The calculation puts the calculated formation energy at -0.4699 eV/atom. The calculated volume comes out at 384 Å³/cell. Its total energy is -3.2420 eV/atom.

a = 7.268 Å, b = 7.268 Å, c = 7.268 Å
α = 90.00°, β = 90.00°, γ = 90.00°
Space group Fm-3m (No. 225)
Symmetry-distinct sites (fractional):
Na 0.000 0.000 0.000 x4
Sr 0.000 0.000 0.500 x4
Au 0.250 0.250 0.250 x8

=====

Here is crystalline RbTiRu3 at its relaxed geometry from Alexandria via LeMat-Bulk. Energies are from GGA-PBEsol.

Output
The size of the total moment comes out at 0.0 μB/f.u. The calculation puts the calculated formation energy at 2.8599 eV/atom. The calculated volume comes out at 94 Å³/cell. Its total energy is -5.1130 eV/atom.

a = 4.549 Å, b = 4.549 Å, c = 4.549 Å
α = 90.00°, β = 90.00°, γ = 90.00°
Space group Pm-3m (No. 221)
Symmetry-distinct sites (fractional):
Rb 0.000 0.000 0.000 x1
Ti 0.500 0.500 0.500 x1
Ru 0.000 0.000 0.500 x3

=====

Here is crystalline CaLa2Al at its relaxed geometry from Alexandria via LeMat-Bulk. Energies are from GGA-PBEsol.

Output
The size of the total moment comes out at 0.0 μB/f.u. The calculation puts the calculated formation energy at -0.1098 eV/atom. The calculated volume comes out at 129 Å³/cell. Its total energy is -4.3391 eV/atom.

a = 3.632 Å, b = 3.632 Å, c = 9.795 Å
α = 90.00°, β = 90.00°, γ = 90.00°
Space group P4/mmm (No. 123)
Symmetry-distinct sites (fractional):
Ca 0.000 0.000 0.000 x1
La 0.500 0.500 0.303 x2
Al 0.000 0.000 0.500 x1

=====

Here is crystalline LiRuCl4 at its relaxed geometry from Alexandria via LeMat-Bulk. Energies are from GGA-PBEsol.

Output
For the uncorrected formation energy, the calculation gives 786 meV per atom. The size of the total moment comes out at 2.0 μB/f.u. The calculated volume comes out at 527 Å³/cell. Its total energy is -2.5760 eV/atom.

a = 8.075 Å, b = 8.075 Å, c = 8.075 Å
α = 90.00°, β = 90.00°, γ = 90.00°
Space group F-43m (No. 216)
Symmetry-distinct sites (fractional):
Li 0.000 0.000 0.000 x4
Ru 0.250 0.250 0.250 x4
Cl 0.125 0.125 0.625 x16

=====

Here is crystalline Nb3FeH at its relaxed geometry from Alexandria via LeMat-Bulk. Energies are from GGA-PBEsol.

Output
The size of the total moment comes out at 2.3 μB/f.u. The energy above the most stable polymorph in this dataset is 0.0 kJ/mol of atoms. The calculated volume comes out at 68 Å³/cell. Its total energy is -8.7919 eV/atom.

a = 4.085 Å, b = 4.085 Å, c = 4.085 Å
α = 90.00°, β = 90.00°, γ = 90.00°
Space group Pm-3m (No. 221)
Symmetry-distinct sites (fractional):
Nb 0.000 0.000 0.500 x3
Fe 0.500 0.500 0.500 x1
H 0.000 0.000 0.000 x1

=====

Here is crystalline ErMg5 at its relaxed geometry from Alexandria via LeMat-Bulk. Energies are from GGA-PBEsol.

Output
The size of the total moment comes out at 0.0 μB/f.u. The calculation puts the calculated formation energy at 0.0072 eV/atom. The calculated volume comes out at 142 Å³/cell. Its total energy is -2.2450 eV/atom.

a = 3.2188 Å, b = 3.2188 Å, c = 15.8406 Å
α = 90.00°, β = 90.00°, γ = 120.00°
Space group P-6m2 (No. 187)
Symmetry-distinct sites (fractional):
Er 0.0000 0.0000 0.0000 x1
Mg 0.0000 0.0000 0.3385 x2
Mg 0.6667 0.3333 0.1758 x2
Mg 0.6667 0.3333 0.5000 x1

=====

Here is crystalline Rb2Sc2S at its relaxed geometry from Alexandria via LeMat-Bulk. Energies are from GGA-PBEsol.

Output
For the uncorrected formation energy, the calculation gives 148 meV per atom. The size of the total moment comes out at 2.7 μB/f.u. The calculated volume comes out at 373 Å³/cell. Its total energy is -3.7807 eV/atom.

a = 4.051 Å, b = 4.051 Å, c = 22.723 Å
α = 90.00°, β = 90.00°, γ = 90.00°
Space group I4/mmm (No. 139)
Symmetry-distinct sites (fractional):
Rb 0.000 0.000 0.074 x4
Sc 0.000 0.500 0.250 x4
S 0.000 0.000 0.500 x2

=====

Here is crystalline NaAsRuBr2 at its relaxed geometry from Alexandria via LeMat-Bulk. Energies are from GGA-PBEsol.

Output
For the uncorrected formation energy, the calculation gives -185 meV per atom. The size of the total moment comes out at 0.0 μB/f.u. The calculated volume comes out at 127 Å³/cell. Its total energy is -4.2682 eV/atom.

a = 5.287 Å, b = 5.287 Å, c = 4.547 Å
α = 90.00°, β = 90.00°, γ = 90.00°
Space group P4/mmm (No. 123)
Symmetry-distinct sites (fractional):
Na 0.000 0.000 0.000 x1
As 0.500 0.500 0.000 x1
Ru 0.500 0.500 0.500 x1
Br 0.000 0.500 0.500 x2

=====

Here is crystalline Li8Al at its relaxed geometry from Alexandria via LeMat-Bulk. Energies are from GGA-PBEsol.

Output
The size of the total moment comes out at 0.0 μB/f.u. The calculation puts the calculated formation energy at -0.0314 eV/atom. The calculated volume comes out at 329 Å³/cell. Its total energy is -2.2342 eV/atom.

a = 8.884 Å, b = 8.884 Å, c = 4.169 Å
α = 90.00°, β = 90.00°, γ = 90.00°
Space group I4/mmm (No. 139)
Symmetry-distinct sites (fractional):
Li 0.000 0.325 0.000 x8
Li 0.159 0.159 0.500 x8
Al 0.000 0.000 0.000 x2

=====

Here is crystalline MgZn2Co at its relaxed geometry from Alexandria via LeMat-Bulk. Energies are from GGA-PBEsol.

Output
The size of the total moment comes out at 0.1 μB/f.u. The calculation puts the calculated formation energy at 0.0468 eV/atom. The calculated volume comes out at 214 Å³/cell. Its total energy is -3.1077 eV/atom.

a = 5.985 Å, b = 5.985 Å, c = 5.985 Å
α = 90.00°, β = 90.00°, γ = 90.00°
Space group F-43m (No. 216)
Symmetry-distinct sites (fractional):
Mg 0.000 0.000 0.000 x4
Zn 0.000 0.000 0.500 x4
Zn 0.250 0.250 0.750 x4
Co 0.250 0.250 0.250 x4

=====

Here is crystalline TaP2W at its relaxed geometry from Alexandria via LeMat-Bulk. Energies are from GGA-PBEsol.

Output
The size of the total moment comes out at 0.0 μB/f.u. The calculation puts the calculated formation energy at 0.1085 eV/atom. The calculated volume comes out at 116 Å³/cell. Its total energy is -9.3768 eV/atom.

a = 3.811 Å, b = 3.811 Å, c = 7.988 Å
α = 90.00°, β = 90.00°, γ = 90.00°
Space group I-4m2 (No. 119)
Symmetry-distinct sites (fractional):
Ta 0.000 0.000 0.000 x2
P 0.000 0.000 0.500 x2
P 0.000 0.500 0.750 x2
W 0.000 0.500 0.250 x2

=====

Here is crystalline CoPd3Rh at its relaxed geometry from Alexandria via LeMat-Bulk. Energies are from GGA-PBEsol.

Output
The size of the total moment comes out at 3.1 μB/f.u. The calculation puts the calculated formation energy at 1.1754 eV/atom. The calculated volume comes out at 84 Å³/cell. Its total energy is -5.5749 eV/atom.

a = 4.376 Å, b = 4.376 Å, c = 4.376 Å
α = 90.00°, β = 90.00°, γ = 90.00°
Space group Pm-3m (No. 221)
Symmetry-distinct sites (fractional):
Co 0.000 0.000 0.000 x1
Pd 0.000 0.000 0.500 x3
Rh 0.500 0.500 0.500 x1

=====

Here is crystalline Ca2ScHgPd at its relaxed geometry from Alexandria via LeMat-Bulk. Energies are from GGA-PBEsol.

Output
The size of the total moment comes out at 0.0 μB/f.u. The calculation puts the calculated formation energy at 0.3131 eV/atom. The calculated volume comes out at 153 Å³/cell. Its total energy is -3.1662 eV/atom.

a = 5.513 Å, b = 5.513 Å, c = 5.044 Å
α = 90.00°, β = 90.00°, γ = 90.00°
Space group P4/mmm (No. 123)
Symmetry-distinct sites (fractional):
Ca 0.000 0.500 0.000 x2
Sc 0.000 0.000 0.500 x1
Hg 0.500 0.500 0.000 x1
Pd 0.500 0.500 0.500 x1

=====

Here is crystalline BeCrFe2 at its relaxed geometry from Alexandria via LeMat-Bulk. Energies are from GGA-PBEsol.

Output
The size of the total moment comes out at 1.8 μB/f.u. The calculation puts the calculated formation energy at -0.0208 eV/atom. The calculated volume comes out at 79 Å³/cell. Its total energy is -8.0631 eV/atom.

a = 2.966 Å, b = 3.759 Å, c = 7.089 Å
α = 90.00°, β = 90.00°, γ = 90.00°
Space group Immm (No. 71)
Symmetry-distinct sites (fractional):
Be 0.000 0.000 0.000 x2
Cr 0.000 0.000 0.500 x2
Fe 0.000 0.500 0.250 x4

=====

Here is crystalline Fe5Tc at its relaxed geometry from Alexandria via LeMat-Bulk. Energies are from GGA-PBEsol.

Output
The size of the total moment comes out at 0.2 μB/f.u. The calculation puts the calculated formation energy at 0.0273 eV/atom. The calculated volume comes out at 127 Å³/cell. Its total energy is -9.3200 eV/atom.

a = 3.928 Å, b = 2.494 Å, c = 12.937 Å
α = 90.00°, β = 90.00°, γ = 90.00°
Space group Amm2 (No. 38)
Symmetry-distinct sites (fractional):
Fe 0.000 0.000 0.000 x2
Fe 0.000 0.000 0.324 x2
Fe 0.000 0.000 0.662 x2
Fe 0.500 0.000 0.212 x2
Fe 0.500 0.000 0.556 x2
Tc 0.500 0.000 0.886 x2

=====

Here is crystalline Li4Cr3GaO8 at its relaxed geometry from Alexandria via LeMat-Bulk. Energies are from GGA-PBEsol.

Output
For the uncorrected formation energy, the calculation gives -2035 meV per atom. The size of the total moment comes out at 9.0 μB/f.u. The calculated volume comes out at 139 Å³/cell. Its total energy is -7.2801 eV/atom.

a = 5.031 Å, b = 5.823 Å, c = 5.043 Å
α = 90.00°, β = 109.52°, γ = 90.00°
Space group P2/m (No. 10)
Symmetry-distinct sites (fractional):
Li 0.000 0.000 0.000 x1
Li 0.000 0.248 0.500 x2
Li 0.000 0.500 0.000 x1
Cr 0.500 0.000 0.500 x1
Cr 0.500 0.250 0.000 x2
Ga 0.500 0.500 0.500 x1
O 0.273 0.500 0.760 x2
O 0.274 0.249 0.257 x4
O 0.278 0.000 0.759 x2

=====

Here is crystalline BiMoI2Cl at its relaxed geometry from Alexandria via LeMat-Bulk. Energies are from GGA-PBEsol.

Output
For the uncorrected formation energy, the calculation gives 1316 meV per atom. The size of the total moment comes out at 4.0 μB/f.u. The calculated volume comes out at 165 Å³/cell. Its total energy is -3.0030 eV/atom.

a = 5.514 Å, b = 5.514 Å, c = 5.419 Å
α = 90.00°, β = 90.00°, γ = 90.00°
Space group P4/mmm (No. 123)
Symmetry-distinct sites (fractional):
Bi 0.000 0.000 0.000 x1
Mo 0.500 0.500 0.000 x1
I 0.000 0.500 0.500 x2
Cl 0.000 0.000 0.500 x1

=====

Here is crystalline BaLiCl at its relaxed geometry from Alexandria via LeMat-Bulk. Energies are from GGA-PBEsol.

Output
For the uncorrected formation energy, the calculation gives -1011 meV per atom. The size of the total moment comes out at 0.0 μB/f.u. The calculated volume comes out at 94 Å³/cell. Its total energy is -3.0526 eV/atom.

a = 3.9247 Å, b = 3.9247 Å, c = 7.0483 Å
α = 90.00°, β = 90.00°, γ = 120.00°
Space group P3m1 (No. 156)
Symmetry-distinct sites (fractional):
Ba 0.0000 0.0000 0.0000 x1
Li 0.3333 0.6667 0.4926 x1
Cl 0.6667 0.3333 0.6648 x1

=====

Here is crystalline LaAg2 at its relaxed geometry from Alexandria via LeMat-Bulk. Energies are from GGA-PBEsol.

Output
The size of the total moment comes out at 0.0 μB/f.u. The calculation puts the calculated formation energy at -0.2029 eV/atom. The calculated volume comes out at 296 Å³/cell. Its total energy is -4.1925 eV/atom.

a = 4.107 Å, b = 4.107 Å, c = 17.552 Å
α = 90.00°, β = 90.00°, γ = 90.00°
Space group I4_1/amd (No. 141, origin choice 2)
Symmetry-distinct sites (fractional):
La 0.000 0.250 0.375 x4
Ag 0.000 0.250 0.798 x8

=====

Here is crystalline TlCrW2 at its relaxed geometry from Alexandria via LeMat-Bulk. Energies are from GGA-PBEsol.

Output
The size of the total moment comes out at 2.7 μB/f.u. The energy above the most stable polymorph in this dataset is 17.9 kJ/mol of atoms. The calculation puts the calculated formation energy at 0.7871 eV/atom. The calculated volume comes out at 261 Å³/cell. Its total energy is -9.3347 eV/atom.

a = 6.387 Å, b = 6.387 Å, c = 6.387 Å
α = 90.00°, β = 90.00°, γ = 90.00°
Space group F-43m (No. 216)
Symmetry-distinct sites (fractional):
Tl 0.000 0.000 0.000 x4
Cr 0.250 0.250 0.750 x4
W 0.000 0.000 0.500 x4
W 0.250 0.250 0.250 x4